VASP calculation (PBE-GGA) on Sr2TlCo after structural relaxation.

Cell lengths 6.199, 6.199, 6.199 Å; angles 134.87, 134.87, 65.73 degrees
Each line ends with the local moment (μB).
Sites, in units of the cell vectors:
1 Co 0.750 0.250 0.500  1.66
2 Sr 0.000 0.000 0.000  -0.05
3 Sr 0.250 0.750 0.500  -0.06
4 Tl 0.500 0.500 0.000  -0.02

Values from the calculation:
- Magnetic moment: 1.23 μB/cell
- SG: I-4m2
- Fermi-level density of states: 4.6 states/eV/f.u.
- ρ: 6.18 g cm⁻³
- Total DFT energy (no corrections): -11.527 eV/f.u.